The following is a PBE calculation of a geometry-optimized V2BiSbP structure, from Alexandria.

Final energy, eV per atom: -4.964

```
V2BiSbP
1.0
5.054 0.000 0.000
0.000 5.054 0.000
0.000 0.000 5.850
V Bi Sb P
2 1 1 1
Cartesian
0.000 2.527 0.000
2.527 0.000 0.000
0.000 0.000 2.925
0.000 0.000 0.000
2.527 2.527 2.925
```


The following is a PBE calculation of a geometry-optimized Tm6PS5 structure, from Alexandria.

Final energy, eV per atom: -6.317

```
Tm6PS5
1.0
3.340 -5.793 0.000
3.340 5.793 0.000
-2.224 0.000 6.313
Tm P S
6 1 5
Cartesian
-0.016 1.895 4.711
1.078 0.000 1.605
-0.016 -1.895 4.711
4.473 1.895 1.602
3.379 0.000 4.708
4.473 -1.895 1.602
-1.112 0.000 3.157
3.340 3.845 0.000
2.228 1.933 3.157
3.340 0.000 0.000
2.228 -1.933 3.157
3.340 -3.845 0.000
```


The following is a PBE calculation of a geometry-optimized Hf3SiH2 structure, from Alexandria.

Final energy, eV per atom: -7.353

```
Hf3SiH2
1.0
9.631 -1.755 0.000
9.631 1.755 0.000
-1.434 0.000 5.250
Hf Si H
6 2 4
Cartesian
0.377 0.000 1.533
4.141 0.000 1.204
7.460 0.000 0.924
10.368 0.000 4.325
13.687 0.000 4.046
17.452 0.000 3.716
5.898 0.000 3.216
11.931 0.000 2.034
-0.224 0.000 4.929
4.221 0.000 5.188
13.607 0.000 0.062
18.053 0.000 0.321
```


The following is a PBE calculation of a geometry-optimized CePm8Ho6 structure, from Alexandria.

Formation energy, meV/atom: 129

```
CePm8Ho6
1.0
4.541 2.622 6.943
-4.541 2.622 6.943
0.000 -5.243 6.943
Ce Pm Ho
1 8 6
Cartesian
0.000 0.000 0.000
-2.728 -1.792 11.018
-2.916 1.466 9.811
0.188 -3.258 9.811
0.000 0.000 8.794
0.000 0.000 12.036
-0.188 3.258 11.018
2.916 -1.466 11.018
2.728 1.792 9.811
-2.001 0.378 6.111
0.673 -1.922 6.111
-1.328 -1.544 14.718
1.328 1.544 6.111
-0.673 1.922 14.718
2.001 -0.378 14.718
```


Repeat the second record exactly.
The following is a PBE calculation of a geometry-optimized Tm6PS5 structure, from Alexandria.

Final energy, eV per atom: -6.317

```
Tm6PS5
1.0
3.340 -5.793 0.000
3.340 5.793 0.000
-2.224 0.000 6.313
Tm P S
6 1 5
Cartesian
-0.016 1.895 4.711
1.078 0.000 1.605
-0.016 -1.895 4.711
4.473 1.895 1.602
3.379 0.000 4.708
4.473 -1.895 1.602
-1.112 0.000 3.157
3.340 3.845 0.000
2.228 1.933 3.157
3.340 0.000 0.000
2.228 -1.933 3.157
3.340 -3.845 0.000
```